Entry from Alexandria: a geometry-optimized La3MoCl2O6 structure (GGA+U).

The structure in POSCAR format:
```
La3MoCl2O6
1.0
5.641 0.000 0.723
0.000 6.829 0.000
0.219 -3.414 6.009
O La Cl Mo
6 3 2 1
direct
0.306 0.175 0.878
0.694 0.825 0.122
0.306 0.703 0.878
0.335 0.154 0.307
0.665 0.846 0.693
0.694 0.297 0.122
0.500 0.000 0.500
0.500 0.500 0.500
0.000 0.500 0.000
0.121 0.715 0.430
0.879 0.285 0.570
0.500 0.000 0.000
```

symmetry: C2/m (12)
crystal system: monoclinic
E_tot: -7.039 eV per atom
volume: 230.37 Å³/cell